[1]
This record from Alexandria describes a geometry-optimized LaInMo2 structure. The functional is GGA-PBE.

Results
Calculated density   8.96 g cm⁻³
DOS at the Fermi energy   0.981 states/eV/atom
Formation energy   0.681 eV/atom

Cell lengths 5.585, 5.585, 2.831 Å; angles 90.00, 90.00, 110.72 degrees
Fractional coordinates of all 4 atoms:
In 0.500 0.000 0.500
La 0.000 0.500 0.500
Mo 0.000 0.000 0.000
Mo 0.500 0.500 0.000


[2]
This record from Alexandria describes a geometry-optimized InCo2Ru structure. The functional is GGA-PBE.

Results
Calculated density   9.79 g cm⁻³
DOS at the Fermi energy   1.357 states/eV/atom
Formation energy   0.211 eV/atom

Cell lengths 2.997, 2.997, 6.300 Å; angles 90.00, 90.00, 90.00 degrees
Fractional coordinates of all 4 atoms:
Co 0.000 0.000 0.016
Co 0.500 0.500 0.211
In 0.000 0.000 0.489
Ru 0.500 0.500 0.784


[3]
This record from Alexandria describes a geometry-optimized NdCd3Hg4 structure. The functional is GGA-PBE.

Results
Calculated density   10.95 g cm⁻³
DOS at the Fermi energy   0.355 states/eV/atom
Formation energy   -0.197 eV/atom

Cell lengths 4.897, 8.120, 9.795 Å; angles 90.00, 90.00, 90.00 degrees
Fractional coordinates of all 16 atoms:
Nd 0.000 0.500 0.000
Nd 0.000 0.500 0.500
Hg 0.500 0.761 0.000
Hg 0.500 0.761 0.500
Hg 0.500 0.239 0.000
Hg 0.500 0.239 0.500
Hg 0.002 0.761 0.750
Hg 0.998 0.761 0.250
Hg 0.998 0.239 0.250
Hg 0.002 0.239 0.750
Cd 0.000 0.000 0.000
Cd 0.000 0.000 0.500
Cd 0.503 0.000 0.750
Cd 0.497 0.000 0.250
Cd 0.501 0.500 0.750
Cd 0.499 0.500 0.250


[4]
This record from Alexandria describes a geometry-optimized Ac2AgSn4Rh3 structure. The functional is GGA-PBE.

Results
Calculated density   9.43 g cm⁻³
DOS at the Fermi energy   0.719 states/eV/atom
Formation energy   -0.652 eV/atom

Cell lengths 4.687, 4.687, 10.782 Å; angles 90.00, 90.00, 90.00 degrees
Fractional coordinates of all 10 atoms:
Ac 0.500 0.000 0.249
Ac 0.000 0.500 0.751
Ag 0.500 0.500 0.500
Sn 0.500 0.500 0.000
Sn 0.000 0.000 0.000
Sn 0.500 0.000 0.631
Sn 0.000 0.500 0.369
Rh 0.000 0.000 0.500
Rh 0.500 0.000 0.875
Rh 0.000 0.500 0.125


[5]
This record from Alexandria describes a geometry-optimized PrPaN2O structure. The functional is GGA-PBE.

Results
Calculated density   8.35 g cm⁻³
DOS at the Fermi energy   0.455 states/eV/atom
Energy relative to the elements, uncorrected   -1.8903 eV per atom

Cell lengths 3.764, 3.764, 11.674 Å; angles 90.00, 90.00, 90.00 degrees
Fractional coordinates of all 10 atoms:
Pr 0.500 0.000 0.614
Pr 0.000 0.500 0.386
Pa 0.500 0.000 0.109
Pa 0.000 0.500 0.891
N 0.000 0.500 0.728
N 0.000 0.500 0.076
N 0.500 0.000 0.924
N 0.500 0.000 0.272
O 0.000 0.000 0.500
O 0.500 0.500 0.500


[6]
This record from Alexandria describes a geometry-optimized Nd3S3Cl structure. The functional is GGA-PBE.

Results
Calculated density   4.95 g cm⁻³
DOS at the Fermi energy   0.523 states/eV/atom
Energy relative to the elements, uncorrected   -1.9226 eV per atom

Cell lengths 5.676, 8.773, 8.773 Å; angles 120.00, 90.00, 90.00 degrees
Fractional coordinates of all 14 atoms:
Nd 0.250 0.693 0.662
Nd 0.250 0.338 0.031
Nd 0.250 0.969 0.307
Nd 0.750 0.307 0.338
Nd 0.750 0.662 0.969
Nd 0.750 0.031 0.693
S 0.750 0.688 0.646
S 0.750 0.354 0.042
S 0.750 0.958 0.312
S 0.250 0.312 0.354
S 0.250 0.646 0.958
S 0.250 0.042 0.688
Cl 0.250 0.667 0.333
Cl 0.750 0.333 0.667


[7]
This record from Alexandria describes a geometry-optimized ScSnAu2 structure. The functional is GGA-PBE.

Results
Calculated density   11.21 g cm⁻³
DOS at the Fermi energy   0.481 states/eV/atom
Formation energy   -0.550 eV/atom

Cell lengths 3.617, 3.617, 6.315 Å; angles 90.00, 90.00, 90.00 degrees
Fractional coordinates of all 4 atoms:
Sc 0.500 0.500 0.000
Au 0.000 0.000 0.773
Au 0.000 0.000 0.227
Sn 0.500 0.500 0.500


[8]
This record from Alexandria describes a geometry-optimized LiCdSi3 structure. The functional is GGA-PBE.

Results
Calculated density   3.66 g cm⁻³
DOS at the Fermi energy   0.626 states/eV/atom
Energy relative to the elements, uncorrected   0.7691 eV per atom

Cell lengths 4.521, 4.521, 4.521 Å; angles 90.00, 90.00, 90.00 degrees
Fractional coordinates of all 5 atoms:
Si 0.000 0.500 0.000
Si 0.000 0.000 0.500
Si 0.500 0.000 0.000
Li 0.000 0.000 0.000
Cd 0.500 0.500 0.500


[9]
This record from Alexandria describes a geometry-optimized BaGaRh2I structure. The functional is GGA-PBE.

Results
Calculated density   6.38 g cm⁻³
DOS at the Fermi energy   0.788 states/eV/atom
Energy relative to the elements, uncorrected   0.3488 eV per atom

Cell lengths 4.992, 5.637, 4.992 Å; angles 90.00, 90.00, 90.00 degrees
Fractional coordinates of all 5 atoms:
I 0.000 0.000 0.000
Rh 0.000 0.000 0.500
Rh 0.500 0.000 0.000
Ba 0.500 0.500 0.500
Ga 0.000 0.500 0.000


[10]
This record from Alexandria describes a geometry-optimized IrOsN structure. The functional is GGA-PBE.

Results
Calculated density   15.89 g cm⁻³
DOS at the Fermi energy   0.527 states/eV/atom
Energy relative to the elements, uncorrected   0.6860 eV per atom

Cell lengths 3.895, 3.895, 6.262 Å; angles 93.71, 93.71, 60.96 degrees
Fractional coordinates of all 6 atoms:
N 0.686 0.686 0.040
N 0.067 0.067 0.268
Ir 0.521 0.521 0.317
Ir 0.232 0.232 0.991
Os 0.210 0.210 0.556
Os 0.544 0.544 0.751


[11]
This record from Alexandria describes a geometry-optimized CuSi2Te6Pb structure. The functional is GGA-PBE.

Results
Calculated density   5.43 g cm⁻³
DOS at the Fermi energy   0.453 states/eV/atom
Energy relative to the elements, uncorrected   -0.0194 eV per atom

Cell lengths 7.349, 9.852, 9.852 Å; angles 86.05, 75.41, 75.41 degrees
Fractional coordinates of all 20 atoms:
Cu 0.250 0.210 0.790
Cu 0.750 0.790 0.210
Si 0.295 0.773 0.626
Si 0.205 0.374 0.227
Si 0.705 0.227 0.374
Si 0.795 0.626 0.773
Te 0.178 0.953 0.825
Te 0.322 0.175 0.047
Te 0.822 0.047 0.175
Te 0.678 0.825 0.953
Te 0.436 0.892 0.398
Te 0.064 0.602 0.108
Te 0.564 0.108 0.602
Te 0.936 0.398 0.892
Te 0.020 0.703 0.554
Te 0.480 0.446 0.297
Te 0.980 0.297 0.446
Te 0.520 0.554 0.703
Pb 0.250 0.849 0.151
Pb 0.750 0.151 0.849


[12]
This record from Alexandria describes a geometry-optimized KIrI2N structure. The functional is GGA-PBE.

Results
Calculated density   6.33 g cm⁻³
DOS at the Fermi energy   0.337 states/eV/atom
Energy relative to the elements, uncorrected   -0.1803 eV per atom

Cell lengths 5.893, 5.893, 3.768 Å; angles 90.00, 90.00, 90.00 degrees
Fractional coordinates of all 5 atoms:
I 0.000 0.500 0.000
I 0.500 0.000 0.000
K 0.500 0.500 0.500
Ir 0.000 0.000 0.000
N 0.000 0.000 0.500